1.
Density functional theory data (PBE) for a geometry-optimized Y2Zn2Ni5Sn structure.

Cell: 9.348 9.348 3.640 Å, 90.00 90.00 90.00°
Atoms (fractional coordinates):
Y 0.180 0.320 0.000
Y 0.320 0.820 0.000
Y 0.680 0.180 0.000
Y 0.820 0.680 0.000
Zn 0.115 0.615 0.000
Zn 0.385 0.115 0.000
Zn 0.615 0.885 0.000
Zn 0.885 0.385 0.000
Ni 0.000 0.500 0.500
Ni 0.063 0.787 0.500
Ni 0.213 0.063 0.500
Ni 0.287 0.563 0.500
Ni 0.437 0.287 0.500
Ni 0.500 0.000 0.500
Ni 0.563 0.713 0.500
Ni 0.713 0.437 0.500
Ni 0.787 0.937 0.500
Ni 0.937 0.213 0.500
Sn 0.000 0.000 0.000
Sn 0.500 0.500 0.000

Summary:
E_tot   -103.20 eV/cell
Magnetic moment   0.000 μB per atom
Fermi-level density of states   5.43 states/eV/f.u.
Energy relative to the elements   -322 meV per atom

---

2.
Density functional theory data (PBE) for a geometry-optimized Pm8Ni2Pt structure.

Cell: 7.613 7.613 6.290 Å, 100.07 100.07 113.78°
Atoms (fractional coordinates):
Pm 0.000 0.000 0.000
Pm 0.016 0.282 0.585
Pm 0.161 0.577 0.196
Pm 0.282 0.016 0.585
Pm 0.447 0.717 0.811
Pm 0.577 0.161 0.196
Pm 0.717 0.447 0.811
Pm 0.723 0.723 0.376
Ni 0.049 0.672 0.681
Ni 0.672 0.049 0.681
Pt 0.355 0.355 0.990

Summary:
E_tot   -58.06 eV/cell
Magnetic moment   0.000 μB per atom
Fermi-level density of states   14.33 states/eV/f.u.
Energy relative to the elements   -223 meV per atom

---

3.
Density functional theory data (PBE) for a geometry-optimized FeGeRuAu2 structure.

Cell: 4.725 4.725 4.499 Å, 90.00 90.00 90.00°
Atoms (fractional coordinates):
Fe 0.000 0.000 0.000
Ge 0.000 0.000 0.500
Ru 0.500 0.500 0.000
Au 0.000 0.500 0.500
Au 0.500 0.000 0.500

Summary:
E_tot   -23.33 eV/cell
Magnetic moment   0.982 μB per atom
Fermi-level density of states   4.56 states/eV/f.u.
Energy relative to the elements   1116 meV per atom